Model i:
! YTcP2O PBE relaxed; values from VASP
! * volume: 116.91 Å³/f.u.
! * total magnetic moment: 2.81 μB/cell
! * space-group type: P4/mmm (123)
! * Fermi-level density of states: 3.26 states/eV/cell
&SYSTEM
  ibrav = 0, nat = 5, ntyp = 4
/
ATOMIC_SPECIES
Y 88.91 Y.upf
P 30.97 P.upf
Tc 98.00 Tc.upf
O 16.00 O.upf
CELL_PARAMETERS angstrom
5.3281 0.0000 0.0000
0.0000 5.3281 0.0000
0.0000 0.0000 4.1182
ATOMIC_POSITIONS crystal
Y 0.0000 0.0000 0.0000
P 0.0000 0.5000 0.0000
P 0.5000 0.0000 0.0000
Tc 0.5000 0.5000 0.5000
O 0.0000 0.0000 0.5000

=====

Model ii:
! YTcP2O PBE relaxed; values from VASP
! * volume: 88.03 Å³/f.u.
! * total magnetic moment: 0.42 μB/cell
! * space-group type: P4/mmm (123)
! * Fermi-level density of states: 3.36 states/eV/cell
&SYSTEM
  ibrav = 0, nat = 5, ntyp = 4
/
ATOMIC_SPECIES
Y 88.91 Y.upf
P 30.97 P.upf
Tc 98.00 Tc.upf
O 16.00 O.upf
CELL_PARAMETERS angstrom
4.8524 0.0000 0.0000
0.0000 4.8524 0.0000
0.0000 0.0000 3.7385
ATOMIC_POSITIONS crystal
Y 0.5000 0.5000 0.5000
P 0.0000 0.5000 0.0000
P 0.5000 0.0000 0.0000
Tc 0.0000 0.0000 0.0000
O 0.0000 0.0000 0.5000

=====

Quick one: most stable of them? model ii

=====

Model i:
! ZnTcPO PBE relaxed; values from VASP
! * volume: 53.85 Å³/f.u.
! * total magnetic moment: 0.00 μB/cell
! * space-group type: R3m (160)
! * Fermi-level density of states: 4.80 states/eV/cell
&SYSTEM
  ibrav = 0, nat = 12, ntyp = 4
/
ATOMIC_SPECIES
Zn 65.41 Zn.upf
Tc 98.00 Tc.upf
P 30.97 P.upf
O 16.00 O.upf
CELL_PARAMETERS angstrom
3.0745 0.0000 0.0000
-1.5373 2.6626 0.0000
0.0000 0.0000 19.7337
ATOMIC_POSITIONS crystal
Zn 0.0000 0.0000 0.3409
Zn 0.3333 0.6667 0.0076
Zn 0.6667 0.3333 0.6743
Tc 0.0000 0.0000 0.5649
Tc 0.3333 0.6667 0.2316
Tc 0.6667 0.3333 0.8982
P 0.0000 0.0000 0.1588
P 0.3333 0.6667 0.8255
P 0.6667 0.3333 0.4922
O 0.0000 0.0000 0.0783
O 0.3333 0.6667 0.7450
O 0.6667 0.3333 0.4116

=====

Model ii:
! ZnTcPO PBE relaxed; values from VASP
! * volume: 67.47 Å³/f.u.
! * total magnetic moment: 0.00 μB/cell
! * space-group type: Pm (6)
! * Fermi-level density of states: 0.08 states/eV/cell
&SYSTEM
  ibrav = 0, nat = 4, ntyp = 4
/
ATOMIC_SPECIES
Zn 65.41 Zn.upf
Tc 98.00 Tc.upf
P 30.97 P.upf
O 16.00 O.upf
CELL_PARAMETERS angstrom
4.4736 0.0000 0.0019
0.0000 2.8338 0.0000
-0.0658 0.0000 5.3217
ATOMIC_POSITIONS crystal
Zn 0.3137 0.5000 0.9616
Tc 0.5542 0.0000 0.3247
P 0.2260 0.5000 0.5211
O 0.8647 0.5000 0.4532

=====

Model iii:
! ZnTcPO PBE relaxed; values from VASP
! * volume: 54.01 Å³/f.u.
! * total magnetic moment: 0.00 μB/cell
! * space-group type: Cm (8)
! * Fermi-level density of states: 3.59 states/eV/cell
&SYSTEM
  ibrav = 0, nat = 8, ntyp = 4
/
ATOMIC_SPECIES
Zn 65.41 Zn.upf
Tc 98.00 Tc.upf
P 30.97 P.upf
O 16.00 O.upf
CELL_PARAMETERS angstrom
-2.2364 3.1681 -0.1322
-0.8370 -0.7138 -2.9461
-6.2390 -5.5509 3.1173
ATOMIC_POSITIONS crystal
Zn 0.2416 0.0000 0.1745
Zn 0.2416 0.5000 0.6745
Tc 0.6345 0.0000 0.8954
Tc 0.6345 0.5000 0.3954
P 0.7281 0.0000 0.6105
P 0.7281 0.5000 0.1105
O 0.1352 0.0000 0.8995
O 0.1352 0.5000 0.3995

=====

Model iv:
! ZnTcPO PBE relaxed; values from VASP
! * volume: 56.53 Å³/f.u.
! * total magnetic moment: 0.00 μB/cell
! * space-group type: P1 (1)
! * Fermi-level density of states: 2.46 states/eV/cell
&SYSTEM
  ibrav = 0, nat = 4, ntyp = 4
/
ATOMIC_SPECIES
Zn 65.41 Zn.upf
Tc 98.00 Tc.upf
P 30.97 P.upf
O 16.00 O.upf
CELL_PARAMETERS angstrom
-0.5062 2.6735 -1.1935
-0.5008 -1.2719 -2.6388
-6.1759 -0.5558 1.6009
ATOMIC_POSITIONS crystal
Zn 0.4522 0.8923 0.3224
Tc 0.9679 0.4168 0.6051
P 0.4714 0.9221 0.7863
O 0.4864 0.9455 0.0255

=====

Quick one: most stable of them? model i

=====

Model i:
! ZnTcPO PBE relaxed; values from VASP
! * volume: 53.78 Å³/f.u.
! * total magnetic moment: 0.00 μB/cell
! * space-group type: P3m1 (156)
! * Fermi-level density of states: 1.30 states/eV/cell
&SYSTEM
  ibrav = 0, nat = 4, ntyp = 4
/
ATOMIC_SPECIES
Zn 65.41 Zn.upf
Tc 98.00 Tc.upf
P 30.97 P.upf
O 16.00 O.upf
CELL_PARAMETERS angstrom
-0.0929 2.4320 -1.8728
-2.2332 -2.1054 -0.1054
-3.3855 3.3640 4.5363
ATOMIC_POSITIONS crystal
Zn 0.6667 0.3333 0.2688
Tc 0.0000 0.0000 0.5975
P 0.3333 0.6667 0.8160
O 0.3333 0.6667 0.0571

=====

Model ii:
! ZnTcPO PBE relaxed; values from VASP
! * volume: 54.91 Å³/f.u.
! * total magnetic moment: 0.00 μB/cell
! * space-group type: Cm (8)
&SYSTEM
  ibrav = 0, nat = 8, ntyp = 4
/
ATOMIC_SPECIES
Zn 65.41 Zn.upf
Tc 98.00 Tc.upf
P 30.97 P.upf
O 16.00 O.upf
CELL_PARAMETERS angstrom
5.1053 0.0000 0.0023
0.0000 2.8804 0.0000
-4.0220 0.0000 7.4664
ATOMIC_POSITIONS crystal
Zn 0.3358 0.0000 0.1376
Zn 0.3358 0.5000 0.6376
Tc 0.8162 0.0000 0.4875
Tc 0.8162 0.5000 0.9875
P 0.8735 0.0000 0.7915
P 0.8735 0.5000 0.2915
O 0.5114 0.0000 0.9616
O 0.5114 0.5000 0.4616

=====

Model iii:
! ZnTcPO PBE relaxed; values from VASP
! * volume: 52.32 Å³/f.u.
! * total magnetic moment: 0.00 μB/cell
! * space-group type: Cm (8)
! * Fermi-level density of states: 3.68 states/eV/cell
&SYSTEM
  ibrav = 0, nat = 8, ntyp = 4
/
ATOMIC_SPECIES
Zn 65.41 Zn.upf
Tc 98.00 Tc.upf
P 30.97 P.upf
O 16.00 O.upf
CELL_PARAMETERS angstrom
-0.5742 -1.4502 4.9791
0.1150 -2.8158 -0.8069
7.3353 1.4154 -3.8937
ATOMIC_POSITIONS crystal
Zn 0.1618 0.0000 0.6440
Zn 0.1618 0.5000 0.1440
Tc 0.6332 0.0000 0.0104
Tc 0.6332 0.5000 0.5104
P 0.7742 0.0000 0.7715
P 0.7742 0.5000 0.2715
O 0.1702 0.0000 0.9589
O 0.1702 0.5000 0.4589

=====

Quick one: most stable of them? model i

=====

Model i:
! ZnTcPO PBE relaxed; values from VASP
! * volume: 53.64 Å³/f.u.
! * total magnetic moment: 0.00 μB/cell
! * space-group type: Amm2 (38)
! * Fermi-level density of states: 4.53 states/eV/cell
&SYSTEM
  ibrav = 0, nat = 8, ntyp = 4
/
ATOMIC_SPECIES
Zn 65.41 Zn.upf
Tc 98.00 Tc.upf
P 30.97 P.upf
O 16.00 O.upf
CELL_PARAMETERS angstrom
3.0084 0.0000 0.0000
0.0000 2.9522 0.0000
0.0000 0.0000 12.0785
ATOMIC_POSITIONS crystal
Zn 0.5000 0.0000 0.0418
Zn 0.5000 0.5000 0.5418
Tc 0.0000 0.0000 0.3858
Tc 0.0000 0.5000 0.8858
P 0.5000 0.0000 0.7934
P 0.5000 0.5000 0.2934
O 0.5000 0.0000 0.6620
O 0.5000 0.5000 0.1620

=====

Model ii:
! ZnTcPO PBE relaxed; values from VASP
! * volume: 56.61 Å³/f.u.
! * total magnetic moment: 0.00 μB/cell
! * space-group type: Pm (6)
! * Fermi-level density of states: 1.37 states/eV/cell
&SYSTEM
  ibrav = 0, nat = 4, ntyp = 4
/
ATOMIC_SPECIES
Zn 65.41 Zn.upf
Tc 98.00 Tc.upf
P 30.97 P.upf
O 16.00 O.upf
CELL_PARAMETERS angstrom
3.1751 0.0000 0.0006
0.0000 2.9337 0.0000
-0.0304 0.0000 6.0774
ATOMIC_POSITIONS crystal
Zn 0.9659 0.5000 0.7309
Tc 0.9739 0.0000 0.3726
P 0.4735 0.5000 0.2107
O 0.4695 0.5000 0.9464

=====

Quick one: most stable of them? model i